CsAlTeN2 | GGA-PBEsol | relaxed

* total moment: 1.74 μB per formula unit
* energy relative to the elements, uncorrected: 2.091 eV/atom

abc: 4.296 4.296 7.223
angles: 90.00 90.00 90.00
Fractional positions:
Cs (0.000, 0.000, 0.000)
Al (0.500, 0.500, 0.500)
Te (0.000, 0.000, 0.500)
N (0.000, 0.500, 0.000)
N (0.500, 0.000, 0.000)


FePt2Br | GGA-PBEsol | relaxed

* offset from the most stable computed form: 0.213 eV/atom
* total moment: 4.23 μB per formula unit
* energy relative to the elements, uncorrected: 0.571 eV/atom

abc: 3.947 3.947 8.086
angles: 90.00 90.00 90.00
Fractional positions:
Fe (0.000, 0.000, 0.000)
Fe (0.500, 0.500, 0.500)
Pt (0.000, 0.500, 0.250)
Pt (0.000, 0.500, 0.750)
Pt (0.500, 0.000, 0.250)
Pt (0.500, 0.000, 0.750)
Br (0.000, 0.000, 0.500)
Br (0.500, 0.500, 0.000)


MnInP4 | GGA-PBEsol | relaxed

* calculated total energy: -32.47 eV/cell
* total moment: 3.96 μB per formula unit

abc: 5.154 5.154 5.154
angles: 60.00 60.00 60.00
Fractional positions:
Mn (0.000, 0.000, 0.000)
In (0.250, 0.250, 0.250)
P (0.118, 0.627, 0.627)
P (0.627, 0.118, 0.627)
P (0.627, 0.627, 0.118)
P (0.627, 0.627, 0.627)


SrNiIr2 | GGA-PBEsol | relaxed

* offset from the most stable computed form: 0.000 eV/atom
* total moment: 0.00 μB per formula unit

abc: 2.802 4.289 5.882
angles: 90.00 103.88 90.00
Fractional positions:
Sr (0.000, 0.000, 0.000)
Ni (0.369, 0.500, 0.742)
Ir (0.250, 0.000, 0.507)
Ir (0.688, 0.500, 0.382)


CaCoAs2Br | GGA-PBEsol | relaxed

* total moment: 2.51 μB per formula unit
* energy relative to the elements, uncorrected: 1.047 eV/atom

abc: 5.348 5.348 5.258
angles: 90.00 90.00 90.00
Fractional positions:
Ca (0.000, 0.000, 0.000)
Co (0.500, 0.500, 0.500)
As (0.000, 0.500, 0.000)
As (0.500, 0.000, 0.000)
Br (0.000, 0.000, 0.500)


Ba3Nd3Co6O17 | GGA-PBEsol | relaxed

* total moment: 12.17 μB per formula unit
* energy relative to the elements, uncorrected: -2.003 eV/atom

abc: 8.442 8.442 9.285
angles: 121.95 121.95 37.70
Fractional positions:
Ba (0.000, 0.000, 0.000)
Ba (0.333, 0.333, 0.669)
Ba (0.667, 0.667, 0.331)
Nd (0.174, 0.174, 0.850)
Nd (0.500, 0.500, 0.500)
Nd (0.826, 0.826, 0.150)
Co (0.087, 0.087, 0.414)
Co (0.255, 0.255, 0.252)
Co (0.418, 0.418, 0.086)
Co (0.582, 0.582, 0.914)
Co (0.745, 0.745, 0.748)
Co (0.913, 0.913, 0.586)
O (0.072, 0.578, 0.919)
O (0.091, 0.611, 0.408)
O (0.175, 0.175, 0.339)
O (0.230, 0.754, 0.270)
O (0.246, 0.770, 0.730)
O (0.330, 0.330, 0.157)
O (0.389, 0.909, 0.592)
O (0.422, 0.928, 0.081)
O (0.500, 0.500, 0.000)
O (0.578, 0.072, 0.919)
O (0.611, 0.091, 0.408)
O (0.670, 0.670, 0.843)
O (0.754, 0.230, 0.270)
O (0.770, 0.246, 0.730)
O (0.825, 0.825, 0.661)
O (0.909, 0.389, 0.592)
O (0.928, 0.422, 0.081)


RbLiZn2O3 | GGA-PBEsol | relaxed

* total moment: 0.00 μB per formula unit
* energy relative to the elements, uncorrected: -1.517 eV/atom

abc: 10.289 10.289 3.413
angles: 90.00 90.00 90.00
Fractional positions:
Rb (0.110, 0.110, 0.000)
Rb (0.390, 0.610, 0.500)
Rb (0.610, 0.390, 0.500)
Rb (0.890, 0.890, 0.000)
Li (0.200, 0.800, 0.000)
Li (0.300, 0.300, 0.500)
Li (0.700, 0.700, 0.500)
Li (0.800, 0.200, 0.000)
Zn (0.073, 0.672, 0.500)
Zn (0.172, 0.427, 0.000)
Zn (0.328, 0.927, 0.500)
Zn (0.427, 0.172, 0.000)
Zn (0.573, 0.828, 0.000)
Zn (0.672, 0.073, 0.500)
Zn (0.828, 0.573, 0.000)
Zn (0.927, 0.328, 0.500)
O (0.115, 0.344, 0.500)
O (0.139, 0.861, 0.500)
O (0.156, 0.615, 0.000)
O (0.344, 0.115, 0.500)
O (0.361, 0.361, 0.000)
O (0.385, 0.844, 0.000)
O (0.615, 0.156, 0.000)
O (0.639, 0.639, 0.000)
O (0.656, 0.885, 0.500)
O (0.844, 0.385, 0.000)
O (0.861, 0.139, 0.500)
O (0.885, 0.656, 0.500)


SbPtSe2 | GGA-PBEsol | relaxed

* total moment: 0.00 μB per formula unit
* energy relative to the elements, uncorrected: 0.263 eV/atom

abc: 3.159 4.849 4.994
angles: 90.00 90.00 90.00
Fractional positions:
Sb (0.000, 0.000, 0.000)
Pt (0.500, 0.000, 0.500)
Se (0.000, 0.500, 0.500)
Se (0.500, 0.500, 0.000)


Mn2P | GGA-PBEsol | relaxed

* calculated total energy: -52.14 eV/cell
* total moment: 0.00 μB per formula unit

abc: 2.608 3.510 6.821
angles: 90.00 90.00 90.00
Fractional positions:
Mn (0.000, 0.000, 0.167)
Mn (0.000, 0.000, 0.833)
Mn (0.500, 0.500, 0.333)
Mn (0.500, 0.500, 0.667)
P (0.000, 0.000, 0.500)
P (0.500, 0.500, 0.000)


YSi5 | GGA-PBEsol | relaxed

* total moment: 0.00 μB per formula unit
* energy relative to the elements, uncorrected: -0.099 eV/atom

abc: 5.131 5.131 5.131
angles: 60.00 60.00 60.00
Fractional positions:
Y (0.000, 0.000, 0.000)
Si (0.127, 0.624, 0.624)
Si (0.250, 0.250, 0.250)
Si (0.624, 0.127, 0.624)
Si (0.624, 0.624, 0.127)
Si (0.624, 0.624, 0.624)


TcMo2Pb | GGA-PBEsol | relaxed

* calculated total energy: -73.95 eV/cell
* total moment: 0.00 μB per formula unit

abc: 4.111 4.261 7.764
angles: 90.00 90.00 90.00
Fractional positions:
Tc (0.000, 0.000, 0.000)
Tc (0.500, 0.500, 0.000)
Mo (0.000, 0.500, 0.213)
Mo (0.000, 0.500, 0.787)
Mo (0.500, 0.000, 0.213)
Mo (0.500, 0.000, 0.787)
Pb (0.000, 0.000, 0.500)
Pb (0.500, 0.500, 0.500)


Si2BiCl | GGA-PBEsol | relaxed

* total moment: 0.00 μB per formula unit
* energy relative to the elements, uncorrected: 0.418 eV/atom

abc: 4.054 4.054 21.221
angles: 90.00 90.00 90.00
Fractional positions:
Si (0.199, 0.250, 0.125)
Si (0.250, 0.699, 0.375)
Si (0.250, 0.801, 0.875)
Si (0.301, 0.250, 0.625)
Si (0.699, 0.750, 0.625)
Si (0.750, 0.199, 0.875)
Si (0.750, 0.301, 0.375)
Si (0.801, 0.750, 0.125)
Bi (0.000, 0.000, 0.500)
Bi (0.000, 0.500, 0.750)
Bi (0.500, 0.000, 0.250)
Bi (0.500, 0.500, 0.000)
Cl (0.000, 0.000, 0.000)
Cl (0.000, 0.500, 0.250)
Cl (0.500, 0.000, 0.750)
Cl (0.500, 0.500, 0.500)